This record from Alexandria describes a relaxed Nd2ThUAs4 crystal. The functional is PBE.

Cell lengths 7.314, 7.306, 5.971 Å; angles 65.96, 65.82, 48.21 degrees
Fractional positions:
Nd (0.000, 0.000, 0.000)
Nd (0.250, 0.250, 0.250)
Th (0.500, 0.500, 0.500)
U (0.750, 0.750, 0.750)
As (0.251, 0.251, 0.749)
As (0.507, 0.507, 0.993)
As (0.749, 0.749, 0.251)
As (0.993, 0.993, 0.507)

Formation enthalpy at 0 K = -1285 meV per atom
Crystal system = orthorhombic
Volume = 212.8 Å³/cell